# 1
Here is an optimized crystal structure of BaLi2Ca2Ga2 from Alexandria. Energies are from PBE-GGA.

Values from the calculation:
DOS at the Fermi energy (states/eV per cell): 9.9
Electronic total energy (eV for the cell shown): -17.26
ΔH_f (0 K) (eV/atom): -0.208

Structure (extended XYZ):
```
7
Lattice="2.435 1.406 10.102 -2.435 1.406 10.102 0.000 -2.811 10.102" Properties=species:S:1:pos:R:3 pbc="T T T"
Ba 0.000 0.000 0.000
Li 0.000 0.000 12.512
Li 0.000 0.000 17.793
Ca 0.000 0.000 3.953
Ca 0.000 0.000 26.353
Ga 0.000 0.000 7.558
Ga 0.000 0.000 22.748
```

=====

# 2
Here is an optimized crystal structure of BaCa2Mg2Ga2 from Alexandria. Energies are from PBE-GGA.

Values from the calculation:
DOS at the Fermi energy (states/eV per cell): 4.5
Electronic total energy (eV for the cell shown): -17.04
ΔH_f (0 K) (eV/atom): -0.268

Structure (extended XYZ):
```
7
Lattice="2.474 1.428 10.023 -2.474 1.428 10.023 0.000 -2.856 10.023" Properties=species:S:1:pos:R:3 pbc="T T T"
Ba 0.000 0.000 0.000
Ca 0.000 0.000 3.989
Ca 0.000 0.000 26.081
Mg 0.000 0.000 12.485
Mg 0.000 0.000 17.585
Ga 0.000 0.000 7.416
Ga 0.000 0.000 22.653
```

=====

# 3
Here is an optimized crystal structure of BaCaMg2Ga from Alexandria. Energies are from PBE-GGA.

Values from the calculation:
DOS at the Fermi energy (states/eV per cell): 4.2
Electronic total energy (eV for the cell shown): -10.29
ΔH_f (0 K) (eV/atom): -0.030

Structure (extended XYZ):
```
5
Lattice="5.401 0.000 0.000 0.000 5.401 0.000 0.000 0.000 5.803" Properties=species:S:1:pos:R:3 pbc="T T T"
Ba 0.000 0.000 0.000
Ca 2.700 2.700 0.000
Mg 0.000 2.700 2.902
Mg 2.700 0.000 2.902
Ga 2.700 2.700 2.902
```

=====

# 4
Here is an optimized crystal structure of BaCaMgGa2 from Alexandria. Energies are from PBE-GGA.

Values from the calculation:
DOS at the Fermi energy (states/eV per cell): 5.6
Electronic total energy (eV for the cell shown): -10.43
ΔH_f (0 K) (eV/atom): 0.229

Structure (extended XYZ):
```
5
Lattice="5.599 0.000 0.000 0.000 5.599 0.000 0.000 0.000 5.789" Properties=species:S:1:pos:R:3 pbc="T T T"
Ba 0.000 0.000 0.000
Ca 2.799 2.799 2.894
Mg 2.799 2.799 0.000
Ga 0.000 2.799 2.894
Ga 2.799 0.000 2.894
```

=====

# 5
Here is an optimized crystal structure of BaCa2GaN from Alexandria. Energies are from PBE-GGA.

Values from the calculation:
DOS at the Fermi energy (states/eV per cell): 4.1
Electronic total energy (eV for the cell shown): -19.49

Structure (extended XYZ):
```
5
Lattice="4.873 0.000 0.000 0.000 4.873 0.000 0.000 0.000 5.719" Properties=species:S:1:pos:R:3 pbc="T T T"
Ba 0.000 0.000 0.000
Ca 0.000 2.436 2.859
Ca 2.436 0.000 2.859
Ga 2.436 2.436 0.000
N 0.000 0.000 2.859
```

=====

# 6
Here is an optimized crystal structure of BaNaCaGa2 from Alexandria. Energies are from PBE-GGA.

Values from the calculation:
DOS at the Fermi energy (states/eV per cell): 4.7
Electronic total energy (eV for the cell shown): -9.19
ΔH_f (0 K) (eV/atom): 0.421

Structure (extended XYZ):
```
5
Lattice="5.692 0.000 0.000 0.000 5.692 0.000 0.000 0.000 6.323" Properties=species:S:1:pos:R:3 pbc="T T T"
Ba 0.000 0.000 0.000
Na 2.846 2.846 0.000
Ca 0.000 0.000 3.161
Ga 0.000 2.846 3.161
Ga 2.846 0.000 3.161
```